No. 1
VASP calculation (GGA-PBEsol) on crystalline TaCoBr2 at its relaxed geometry.

```
TaCoBr2
1.0
3.1868 0.0000 0.0000
0.0000 3.1868 0.0000
0.0000 0.0000 6.1850
Co Br Ta
1 2 1
Direct
0.5000 0.5000 0.0000 Co
0.0000 0.0000 0.7545 Br
0.0000 0.0000 0.2455 Br
0.5000 0.5000 0.5000 Ta
```

Output
spin magnetization	0.50	μB/cell
total DFT energy (no corrections)	-5.39	eV per atom
ΔE to the lowest computed polymorph	0.683	eV/atom

=====

No. 2
VASP calculation (GGA-PBEsol) on crystalline CdTcBr2 at its relaxed geometry.

```
CdTcBr2
1.0
-2.8428 -0.8186 1.7396
2.8138 -1.8776 3.7146
0.0657 4.5032 2.2265
Tc Br Cd
1 2 1
Direct
0.5000 0.0000 0.0000 Tc
0.0000 0.0000 0.5000 Br
0.0000 0.5000 0.0000 Br
0.5000 0.5000 0.5000 Cd
```

Output
spin magnetization	3.89	μB/cell
total DFT energy (no corrections)	-3.31	eV per atom
ΔE to the lowest computed polymorph	0.122	eV/atom

=====

No. 3
VASP calculation (GGA-PBEsol) on crystalline LiNbN2 at its relaxed geometry.

```
LiNbN2
1.0
-4.6511 0.9530 -0.4949
-1.0686 -3.8891 2.5533
2.9618 3.9572 2.8050
Nb N Li
2 4 2
Direct
0.2500 0.7500 0.5000 Nb
0.0000 0.0000 0.0000 Nb
0.9075 0.3750 0.2500 N
0.3425 0.8750 0.2500 N
0.6250 0.6575 0.7500 N
0.1250 0.0925 0.7500 N
0.7500 0.2500 0.5000 Li
0.5000 0.5000 0.0000 Li
```

Output
spin magnetization	0.00	μB/cell
total DFT energy (no corrections)	-8.35	eV per atom
ΔE to the lowest computed polymorph	0.101	eV/atom

=====

No. 4
VASP calculation (GGA-PBEsol) on crystalline K2YRh at its relaxed geometry.

```
K2YRh
1.0
4.1841 0.0000 0.0000
0.0000 4.1841 0.0000
-2.0920 -2.0920 6.1784
K Rh Y
2 1 1
Direct
0.7500 0.2500 0.5000 K
0.2500 0.7500 0.5000 K
0.5000 0.5000 0.0000 Rh
0.0000 0.0000 0.0000 Y
```

Output
spin magnetization	0.65	μB/cell
total DFT energy (no corrections)	-3.85	eV per atom
ΔE to the lowest computed polymorph	0.435	eV/atom
ΔE_f	10.47	kcal/mol of atoms